Here is an optimized crystal structure of AcPr3Dy3 from the Alexandria database. Energies are from GGA-PBE.

Structure (extended XYZ):
```
14
Lattice="9.8554 0.0000 0.0000 -4.9277 8.5351 0.0000 0.0000 0.0000 5.9242" Properties=species:S:1:pos:R:3 pbc="T T T"
Ac 0.0000 5.6900 1.4810
Ac 4.9277 2.8450 4.4431
Pr -2.1543 5.3361 4.4431
Pr 1.3836 4.0014 4.4431
Pr 4.1571 0.8024 1.4810
Pr 0.7706 7.7326 4.4431
Pr 3.5441 4.5337 1.4810
Pr 7.0820 3.1989 1.4810
Dy -3.5919 6.9508 1.4810
Dy 0.7041 1.9490 1.4810
Dy 2.0400 0.3647 4.4431
Dy 2.8877 8.1703 1.4810
Dy 4.2236 6.5860 4.4431
Dy 8.5196 1.5843 4.4431
```

Properties
* space group: P6_3/m (176)
* total moment: 0.00 μB per cell
* ΔE to the lowest computed polymorph: 0.00 eV/f.u.